Entry 1:
# Nb2CuRh9, relaxed, DFT PBE
data_Nb2CuRh9
_space_group_name_H-M_alt 'P 1'
_space_group_IT_number 1
_space_group_name_Hall 'P 1'
_cell_length_a 3.889
_cell_length_b 3.889
_cell_length_c 11.589
_cell_angle_alpha 90.00
_cell_angle_beta 90.00
_cell_angle_gamma 90.00
loop_
_atom_site_label
_atom_site_type_symbol
_atom_site_fract_x
_atom_site_fract_y
_atom_site_fract_z
_atom_site_occupancy
Nb1 Nb 0.000 0.000 0.173 1
Nb2 Nb 0.000 0.000 0.827 1
Cu1 Cu 0.000 0.000 0.500 1
Rh1 Rh 0.000 0.500 0.000 1
Rh2 Rh 0.000 0.500 0.336 1
Rh3 Rh 0.000 0.500 0.664 1
Rh4 Rh 0.500 0.000 0.000 1
Rh5 Rh 0.500 0.000 0.336 1
Rh6 Rh 0.500 0.000 0.664 1
Rh7 Rh 0.500 0.500 0.167 1
Rh8 Rh 0.500 0.500 0.500 1
Rh9 Rh 0.500 0.500 0.833 1
# DOS at the Fermi energy = 10.83 states/eV/f.u.
# ΔE_f = -3.93 eV/f.u.
# total energy = -7.860 eV per atom



Entry 2:
# Nb2CuRh, relaxed, DFT PBE
data_Nb2CuRh
_space_group_name_H-M_alt 'P 1'
_space_group_IT_number 1
_space_group_name_Hall 'P 1'
_cell_length_a 9.379
_cell_length_b 9.379
_cell_length_c 9.379
_cell_angle_alpha 17.34
_cell_angle_beta 17.34
_cell_angle_gamma 17.34
loop_
_atom_site_label
_atom_site_type_symbol
_atom_site_fract_x
_atom_site_fract_y
_atom_site_fract_z
_atom_site_occupancy
Nb1 Nb 0.250 0.250 0.250 1
Nb2 Nb 0.750 0.750 0.750 1
Cu1 Cu 0.500 0.500 0.500 1
Rh1 Rh 0.000 0.000 0.000 1
# DOS at the Fermi energy = 3.48 states/eV/f.u.
# ΔE_f = 0.12 eV/f.u.
# total energy = -7.867 eV per atom



Entry 3:
# NbCu2Rh2, relaxed, DFT PBE
data_NbCu2Rh2
_space_group_name_H-M_alt 'P 1'
_space_group_IT_number 1
_space_group_name_Hall 'P 1'
_cell_length_a 4.780
_cell_length_b 4.780
_cell_length_c 6.754
_cell_angle_alpha 99.53
_cell_angle_beta 99.53
_cell_angle_gamma 88.48
loop_
_atom_site_label
_atom_site_type_symbol
_atom_site_fract_x
_atom_site_fract_y
_atom_site_fract_z
_atom_site_occupancy
Nb1 Nb 0.144 0.856 0.750 1
Nb2 Nb 0.856 0.144 0.250 1
Cu1 Cu 0.247 0.392 0.013 1
Cu2 Cu 0.392 0.247 0.513 1
Cu3 Cu 0.608 0.753 0.487 1
Cu4 Cu 0.753 0.608 0.987 1
Rh1 Rh 0.080 0.653 0.357 1
Rh2 Rh 0.347 0.920 0.143 1
Rh3 Rh 0.653 0.080 0.857 1
Rh4 Rh 0.920 0.347 0.643 1
# DOS at the Fermi energy = 3.53 states/eV/f.u.
# ΔE_f = -0.42 eV/f.u.
# relative energy among the computed polymorphs = 0 meV per atom
# total energy = -6.677 eV per atom



> The lowest ΔE_f belongs to which entry?

Nb2CuRh9



> What is the formula in the third record?

NbCu2Rh2